This record from Alexandria via LeMat-Bulk describes a geometry-optimized Na2ZnGeF6 structure. The functional is GGA-PBE.

Calculated values
Uncorrected energy   -43.80 eV/f.u.
Uncorrected formation energy   -2.405 eV/atom

abc: 5.6800 5.6800 5.9632
angles: 61.55 61.55 59.99
Closest atoms and distances in Å follow each position.
Sites, in units of the cell vectors:
Na 0.5315 0.5315 0.4056  6 F 2.30-2.46
Na 0.0256 0.0255 0.9234  6 F 2.31-2.41
Zn 0.3166 0.3166 0.0501  6 F 2.03-2.14
Ge 0.8126 0.8126 0.5621  6 F 2.17-2.36
F 0.5819 0.2026 0.2512  1 Zn 2.03
F 0.2026 0.9643 0.2512  1 Zn 2.03
F 0.9644 0.5818 0.2513  1 Zn 2.03
F 0.4450 0.6779 0.7734  1 Zn 2.14, 1 Ge 2.17, 1 Na 2.31
F 0.6778 0.1037 0.7735  1 Zn 2.14, 1 Ge 2.17, 1 Na 2.31
F 0.1037 0.4450 0.7735  1 Zn 2.14, 1 Ge 2.17, 1 Na 2.31